# PrPbF

A relaxed structure of PrPbF (PBE-GGA, Alexandria via LeMat-Bulk).

## Properties
**N(E_F)**: 1.4 states/eV/cell
**Excess energy over the best structure of this formula in the dataset**: 132 meV/atom
**E_form (uncorrected)**: -496 kJ/mol of formula units

a = 3.4629 Å, b = 3.4629 Å, c = 12.3791 Å
α = 90.00°, β = 90.00°, γ = 90.00°
Space group I4mm (No. 107)
Inequivalent atoms, fractional coordinates:
Pr  0.0000  0.0000  0.0000 x2
Pb  0.0000  0.0000  0.2835 x2
F  0.0000  0.0000  0.5488 x2